Record 1
A relaxed CaBe4Mo crystal, computed with PBEsol.

Calculated values
DFT formation energy: 2.011 eV per formula unit

The structure in CIF format:
```
data_CaBe4Mo
_symmetry_space_group_name_H-M 'P 1'
_symmetry_Int_Tables_number 1
_cell_length_a 4.693
_cell_length_b 4.693
_cell_length_c 4.693
_cell_angle_alpha 60.00
_cell_angle_beta 60.00
_cell_angle_gamma 60.00
loop_
_symmetry_equiv_pos_as_xyz
'x,y,z'
loop_
_atom_site_label
_atom_site_type_symbol
_atom_site_fract_x
_atom_site_fract_y
_atom_site_fract_z
Ca1 Ca 0.000 0.000 0.000
Be1 Be 0.380 0.380 0.380
Be2 Be 0.380 0.380 0.860
Be3 Be 0.380 0.860 0.380
Be4 Be 0.860 0.380 0.380
Mo1 Mo 0.750 0.750 0.750
```

Record 2
A relaxed BeAlIn2 crystal, computed with PBEsol.

Calculated values
Offset from the most stable computed form: 0.039 eV/atom
DFT formation energy: 1.386 eV per formula unit

The structure in CIF format:
```
data_BeAlIn2
_symmetry_space_group_name_H-M 'P 1'
_symmetry_Int_Tables_number 1
_cell_length_a 3.077
_cell_length_b 3.077
_cell_length_c 7.881
_cell_angle_alpha 90.00
_cell_angle_beta 90.00
_cell_angle_gamma 90.00
loop_
_symmetry_equiv_pos_as_xyz
'x,y,z'
loop_
_atom_site_label
_atom_site_type_symbol
_atom_site_fract_x
_atom_site_fract_y
_atom_site_fract_z
Be1 Be 0.000 0.000 0.000
Al1 Al 0.000 0.000 0.500
In1 In 0.500 0.500 0.219
In2 In 0.500 0.500 0.781
```

Record 3
A relaxed RbZrF2 crystal, computed with PBEsol.

Calculated values
Offset from the most stable computed form: 0.589 eV/atom
Formation energy from raw total energies: -1107 meV per atom

The structure in CIF format:
```
data_RbZrF2
_symmetry_space_group_name_H-M 'P 1'
_symmetry_Int_Tables_number 1
_cell_length_a 4.603
_cell_length_b 4.603
_cell_length_c 4.603
_cell_angle_alpha 60.00
_cell_angle_beta 60.00
_cell_angle_gamma 60.00
loop_
_symmetry_equiv_pos_as_xyz
'x,y,z'
loop_
_atom_site_label
_atom_site_type_symbol
_atom_site_fract_x
_atom_site_fract_y
_atom_site_fract_z
Rb1 Rb 0.000 0.000 0.000
Zr1 Zr 0.500 0.500 0.500
F1 F 0.250 0.250 0.250
F2 F 0.750 0.750 0.750
```

Record 4
A relaxed BeNi2P crystal, computed with PBEsol.

Calculated values
Offset from the most stable computed form: 0.078 eV/atom
DFT formation energy: -1.352 eV per formula unit

The structure in CIF format:
```
data_BeNi2P
_symmetry_space_group_name_H-M 'P 1'
_symmetry_Int_Tables_number 1
_cell_length_a 3.621
_cell_length_b 4.383
_cell_length_c 4.383
_cell_angle_alpha 34.85
_cell_angle_beta 90.00
_cell_angle_gamma 90.00
loop_
_symmetry_equiv_pos_as_xyz
'x,y,z'
loop_
_atom_site_label
_atom_site_type_symbol
_atom_site_fract_x
_atom_site_fract_y
_atom_site_fract_z
Be1 Be 0.000 0.000 0.000
Ni1 Ni 0.000 0.735 0.735
Ni2 Ni 0.500 0.424 0.424
P1 P 0.500 0.156 0.156
```

Record 5
A relaxed ZrNiP2 crystal, computed with PBEsol.

Calculated values
DFT formation energy: -2.529 eV per formula unit

The structure in CIF format:
```
data_ZrNiP2
_symmetry_space_group_name_H-M 'P 1'
_symmetry_Int_Tables_number 1
_cell_length_a 3.359
_cell_length_b 3.986
_cell_length_c 5.064
_cell_angle_alpha 90.00
_cell_angle_beta 109.04
_cell_angle_gamma 90.00
loop_
_symmetry_equiv_pos_as_xyz
'x,y,z'
loop_
_atom_site_label
_atom_site_type_symbol
_atom_site_fract_x
_atom_site_fract_y
_atom_site_fract_z
Zr1 Zr 0.000 0.000 0.000
Ni1 Ni 0.652 0.500 0.314
P1 P 0.430 0.500 0.856
P2 P 0.722 0.000 0.446
```

Record 6
A relaxed Ce4GeS3 crystal, computed with PBEsol.

Calculated values
Formation energy from raw total energies: -1726 meV per atom

The structure in CIF format:
```
data_Ce4GeS3
_symmetry_space_group_name_H-M 'P 1'
_symmetry_Int_Tables_number 1
_cell_length_a 6.956
_cell_length_b 6.956
_cell_length_c 6.956
_cell_angle_alpha 131.83
_cell_angle_beta 131.83
_cell_angle_gamma 70.50
loop_
_symmetry_equiv_pos_as_xyz
'x,y,z'
loop_
_atom_site_label
_atom_site_type_symbol
_atom_site_fract_x
_atom_site_fract_y
_atom_site_fract_z
Ce1 Ce 0.000 0.500 0.500
Ce2 Ce 0.245 0.245 0.000
Ce3 Ce 0.500 0.000 0.500
Ce4 Ce 0.755 0.755 0.000
Ge1 Ge 0.500 0.500 0.000
S1 S 0.000 0.000 0.000
S2 S 0.250 0.750 0.500
S3 S 0.750 0.250 0.500
```

Record 7
A relaxed Sc2CdSb crystal, computed with PBEsol.

Calculated values
Offset from the most stable computed form: 0.000 eV/atom
Formation energy from raw total energies: -563 meV per atom

The structure in CIF format:
```
data_Sc2CdSb
_symmetry_space_group_name_H-M 'P 1'
_symmetry_Int_Tables_number 1
_cell_length_a 3.703
_cell_length_b 3.703
_cell_length_c 6.317
_cell_angle_alpha 90.00
_cell_angle_beta 90.00
_cell_angle_gamma 90.00
loop_
_symmetry_equiv_pos_as_xyz
'x,y,z'
loop_
_atom_site_label
_atom_site_type_symbol
_atom_site_fract_x
_atom_site_fract_y
_atom_site_fract_z
Sc1 Sc 0.000 0.000 0.242
Sc2 Sc 0.000 0.000 0.758
Cd1 Cd 0.500 0.500 0.500
Sb1 Sb 0.500 0.500 0.000
```

Record 8
A relaxed LiCrCu2 crystal, computed with PBEsol.

Calculated values
Offset from the most stable computed form: 0.000 eV/atom
DFT formation energy: 1.046 eV per formula unit

The structure in CIF format:
```
data_LiCrCu2
_symmetry_space_group_name_H-M 'P 1'
_symmetry_Int_Tables_number 1
_cell_length_a 2.397
_cell_length_b 2.397
_cell_length_c 8.630
_cell_angle_alpha 90.00
_cell_angle_beta 90.00
_cell_angle_gamma 109.86
loop_
_symmetry_equiv_pos_as_xyz
'x,y,z'
loop_
_atom_site_label
_atom_site_type_symbol
_atom_site_fract_x
_atom_site_fract_y
_atom_site_fract_z
Li1 Li 0.000 0.000 0.000
Cr1 Cr 0.500 0.500 0.732
Cu1 Cu 0.000 0.000 0.489
Cu2 Cu 0.500 0.500 0.248
```

Record 9
A relaxed TlTcNi2Pd crystal, computed with PBEsol.

Calculated values
DFT formation energy: 5.818 eV per formula unit

The structure in CIF format:
```
data_TlTcNi2Pd
_symmetry_space_group_name_H-M 'P 1'
_symmetry_Int_Tables_number 1
_cell_length_a 4.442
_cell_length_b 4.442
_cell_length_c 4.784
_cell_angle_alpha 90.00
_cell_angle_beta 90.00
_cell_angle_gamma 90.00
loop_
_symmetry_equiv_pos_as_xyz
'x,y,z'
loop_
_atom_site_label
_atom_site_type_symbol
_atom_site_fract_x
_atom_site_fract_y
_atom_site_fract_z
Tl1 Tl 0.000 0.000 0.000
Tc1 Tc 0.500 0.500 0.500
Ni1 Ni 0.000 0.500 0.500
Ni2 Ni 0.500 0.000 0.500
Pd1 Pd 0.500 0.500 0.000
```

Record 10
A relaxed Co3Au crystal, computed with PBEsol.

Calculated values
DFT formation energy: 0.619 eV per formula unit

The structure in CIF format:
```
data_Co3Au
_symmetry_space_group_name_H-M 'P 1'
_symmetry_Int_Tables_number 1
_cell_length_a 2.632
_cell_length_b 3.486
_cell_length_c 5.285
_cell_angle_alpha 90.00
_cell_angle_beta 90.00
_cell_angle_gamma 90.00
loop_
_symmetry_equiv_pos_as_xyz
'x,y,z'
loop_
_atom_site_label
_atom_site_type_symbol
_atom_site_fract_x
_atom_site_fract_y
_atom_site_fract_z
Co1 Co 0.000 0.000 0.000
Co2 Co 0.500 0.500 0.215
Co3 Co 0.500 0.500 0.785
Au1 Au 0.000 0.000 0.500
```

Record 11
A relaxed SiTe crystal, computed with PBEsol.

Calculated values
Formation energy from raw total energies: 217 meV per atom

The structure in CIF format:
```
data_SiTe
_symmetry_space_group_name_H-M 'P 1'
_symmetry_Int_Tables_number 1
_cell_length_a 6.132
_cell_length_b 6.132
_cell_length_c 4.125
_cell_angle_alpha 90.00
_cell_angle_beta 90.00
_cell_angle_gamma 141.44
loop_
_symmetry_equiv_pos_as_xyz
'x,y,z'
loop_
_atom_site_label
_atom_site_type_symbol
_atom_site_fract_x
_atom_site_fract_y
_atom_site_fract_z
Si1 Si 0.141 0.859 0.750
Si2 Si 0.859 0.141 0.250
Te1 Te 0.369 0.631 0.750
Te2 Te 0.631 0.369 0.250
```

Record 12
A relaxed ScCr2HSe crystal, computed with PBEsol.

Calculated values
Electronic total energy: -6.81 eV/atom

The structure in CIF format:
```
data_ScCr2HSe
_symmetry_space_group_name_H-M 'P 1'
_symmetry_Int_Tables_number 1
_cell_length_a 3.579
_cell_length_b 3.579
_cell_length_c 4.816
_cell_angle_alpha 90.00
_cell_angle_beta 90.00
_cell_angle_gamma 90.00
loop_
_symmetry_equiv_pos_as_xyz
'x,y,z'
loop_
_atom_site_label
_atom_site_type_symbol
_atom_site_fract_x
_atom_site_fract_y
_atom_site_fract_z
Sc1 Sc 0.000 0.000 0.000
Cr1 Cr 0.000 0.500 0.500
Cr2 Cr 0.500 0.000 0.500
H1 H 0.500 0.500 0.500
Se1 Se 0.500 0.500 0.000
```